Entry 1:
Density functional theory data (PBE) for Sr2HfTe after structural relaxation.

The value obtained for the total moment is 5.5 Bohr magnetons per cell. For the energy relative to the elements, uncorrected, the calculation gives 19.4 kJ per mole of atoms. Its calculated volume is 34.83 A^3/atom.

The space group is I-42d (No. 122) and the conventional cell measures 9.308, 9.308 and 6.432 Å, with angles of 90.00, 90.00 and 90.00 degrees. Symmetry generates all atoms from Sr at (0.217, 0.250, 0.125), Hf at (0.000, 0.000, 0.500) and Te at (0.000, 0.000, 0.000).

Entry 2:
Density functional theory data (PBE) for SrHfTe3 after structural relaxation.

The value obtained for the total moment is 0.0 Bohr magnetons per cell. As for the energy above the most stable polymorph in this dataset: 0.0699 eV per atom. For the energy relative to the elements, uncorrected, the calculation gives -102.0 kJ per mole of atoms. Its calculated volume is 36.51 A^3/atom.

The space group is C2/m (No. 12) and the conventional cell measures 16.882, 4.277 and 10.485 Å, with angles of 90.00, 105.33 and 90.00 degrees. Symmetry generates all atoms from Sr at (0.152, 0.000, 0.331), Hf at (0.154, 0.500, 0.827), Te at (0.046, 0.000, 0.839), Te at (0.142, 0.500, 0.559) and Te at (0.213, 0.500, 0.125).

Entry 3:
Density functional theory data (PBE) for SrHfTe3 after structural relaxation.

The value obtained for the total moment is 0.0 Bohr magnetons per cell. As for the energy above the most stable polymorph in this dataset: 0.0091 eV per atom. For the energy relative to the elements, uncorrected, the calculation gives -107.9 kJ per mole of atoms. Its calculated volume is 38.76 A^3/atom.

The space group is P1 (No. 1) and the conventional cell measures 7.477, 7.483 and 8.395 Å, with angles of 71.45, 82.35 and 60.55 degrees. Symmetry generates all atoms from Sr at (0.000, 0.000, 0.000), Sr at (0.319, 0.509, 0.509), Hf at (0.333, 0.328, 0.027), Hf at (0.665, 0.656, 0.027), Te at (0.007, 0.545, 0.238), Te at (0.375, 0.692, 0.804), Te at (0.375, 0.910, 0.236), Te at (0.608, 0.072, 0.809), Te at (0.647, 0.272, 0.239) and Te at (0.989, 0.459, 0.807).

Entry 4:
Density functional theory data (PBE) for SrHfTe3 after structural relaxation.

The value obtained for the total moment is 0.0 Bohr magnetons per cell. As for the energy above the most stable polymorph in this dataset: 0.2401 eV per atom. For the energy relative to the elements, uncorrected, the calculation gives -85.6 kJ per mole of atoms. Its calculated volume is 38.59 A^3/atom.

The space group is P6_3/mmc (No. 194) and the conventional cell measures 4.9397, 4.9397 and 18.2592 Å, with angles of 90.00, 90.00 and 120.00 degrees. Symmetry generates all atoms from Sr at (0.0000, 0.0000, 0.0000), Hf at (0.3333, 0.6667, 0.2500), Te at (0.0000, 0.0000, 0.2500) and Te at (0.3333, 0.6667, 0.0964).